Record 1
This record from the Alexandria database describes a relaxed structure of BaTm4Hg5. The functional is GGA-PBE.

Structure (POSCAR):
```
BaTm4Hg5
1.0
3.741 0.000 0.000
0.000 3.741 0.000
0.000 0.000 19.088
Ba Tm Hg
1 4 5
Direct
0.000 0.000 0.000 Ba
0.000 0.000 0.217 Tm
0.000 0.000 0.406 Tm
0.000 0.000 0.594 Tm
0.000 0.000 0.783 Tm
0.500 0.500 0.129 Hg
0.500 0.500 0.312 Hg
0.500 0.500 0.500 Hg
0.500 0.500 0.688 Hg
0.500 0.500 0.871 Hg
```

- DFT formation energy: -0.47 eV per atom



Record 2
This record from the Alexandria database describes a relaxed structure of Ba2TmHg. The functional is GGA-PBE.

Structure (POSCAR):
```
Ba2TmHg
1.0
1.947 1.124 12.546
-1.947 1.124 12.546
0.000 -2.248 12.546
Ba Tm Hg
2 1 1
Direct
0.096 0.096 0.096 Ba
0.904 0.904 0.904 Ba
0.000 0.000 0.000 Tm
0.500 0.500 0.500 Hg
```

- DFT formation energy: 0.20 eV per atom



Record 3
This record from the Alexandria database describes a relaxed structure of Ba4TmHg5. The functional is GGA-PBE.

Structure (POSCAR):
```
Ba4TmHg5
1.0
4.036 0.000 0.000
0.000 4.036 0.000
0.000 0.000 20.907
Ba Tm Hg
4 1 5
Direct
0.000 0.000 0.105 Ba
0.000 0.000 0.315 Ba
0.000 0.000 0.685 Ba
0.000 0.000 0.895 Ba
0.000 0.000 0.500 Tm
0.500 0.500 0.000 Hg
0.500 0.500 0.208 Hg
0.500 0.500 0.424 Hg
0.500 0.500 0.576 Hg
0.500 0.500 0.792 Hg
```

- DFT formation energy: -0.48 eV per atom



Record 4
This record from the Alexandria database describes a relaxed structure of BaTmHg2. The functional is GGA-PBE.

Structure (POSCAR):
```
BaTmHg2
1.0
3.847 0.000 0.000
0.000 3.847 0.000
0.000 0.000 8.104
Ba Tm Hg
1 1 2
Direct
0.000 0.000 0.000 Ba
0.000 0.000 0.500 Tm
0.500 0.500 0.298 Hg
0.500 0.500 0.702 Hg
```

- DFT formation energy: -0.46 eV per atom